Entry 1:
Pm3Pr2Mg2 | PBE | relaxed

Lattice parameters (Å, degrees): 5.5071 6.5258 6.8955 87.93 90.00 114.96
With the nearest neighbours (Å) after each atom.
Atoms (fractional coordinates):
Pm 0.2930 0.5861 0.8309  3 Mg 3.41-3.51, 5 Pr 3.59-3.75, 3 Pm 3.61-3.72
Pm 0.0000 0.0000 0.0000  2 Mg 3.33, 2 Pm 3.61, 4 Pr 3.66
Pm 0.7070 0.4139 0.1691  3 Mg 3.41-3.51, 5 Pr 3.59-3.75, 3 Pm 3.61-3.72
Pr 0.5998 0.1996 0.6890  3 Mg 3.29-3.37, 1 Pr 3.59, 3 Pm 3.59-3.66
Pr 0.4002 0.8004 0.3110  3 Mg 3.29-3.37, 1 Pr 3.59, 3 Pm 3.59-3.66
Mg 0.1210 0.2420 0.4278  1 Mg 2.99, 2 Pr 3.29, 1 Pm 3.33
Mg 0.8790 0.7580 0.5722  1 Mg 2.99, 2 Pr 3.29, 1 Pm 3.33

ΔE_f = -0.02 eV per atom
Mass density = 5.66 g/cm3
Total DFT energy (no corrections) = -27.1 eV/cell



Entry 2:
KTePbN2 | PBE | relaxed

Lattice parameters (Å, degrees): 4.7455 4.7455 6.0673 90.00 90.00 90.00
With the nearest neighbours (Å) after each atom.
Atoms (fractional coordinates):
Pb 0.0000 0.0000 0.0000  4 N 2.37
K 0.5000 0.5000 0.5000  4 Te 3.36
Te 0.0000 0.0000 0.5000  2 Pb 3.03, 4 K 3.36
N 0.0000 0.5000 0.0000  2 Pb 2.37
N 0.5000 0.0000 0.0000  2 Pb 2.37

Mass density = 4.88 g/cm3
Total DFT energy (no corrections) = -18.8 eV/cell



Entry 3:
Hf2Al2As | PBE | relaxed

Lattice parameters (Å, degrees): 6.9075 6.9075 4.2391 90.00 90.00 90.00
With the nearest neighbours (Å) after each atom.
Atoms (fractional coordinates):
As 0.0000 0.0000 0.0000  4 Hf 2.59
As 0.5000 0.5000 0.0000  4 Hf 2.59
Hf 0.3388 0.8388 0.0000  2 As 2.59, 2 Al 2.88
Hf 0.8388 0.6612 0.0000  2 As 2.59, 2 Al 2.88
Hf 0.6612 0.1612 0.0000  2 As 2.59, 2 Al 2.88
Hf 0.1612 0.3388 0.0000  2 As 2.59, 2 Al 2.88
Al 0.1391 0.6391 0.5000  1 Al 2.72, 6 Hf 2.88-2.97
Al 0.6391 0.8609 0.5000  1 Al 2.72, 6 Hf 2.88-2.97
Al 0.8609 0.3609 0.5000  1 Al 2.72, 6 Hf 2.88-2.97
Al 0.3609 0.1391 0.5000  1 Al 2.72, 6 Hf 2.88-2.97

ΔE_f = -0.41 eV per atom
Mass density = 7.98 g/cm3
Total DFT energy (no corrections) = -68.2 eV/cell



Entry 4:
BaTl2Tc | PBE | relaxed

Lattice parameters (Å, degrees): 4.8946 4.8946 6.8801 67.82 67.82 56.36
With the nearest neighbours (Å) after each atom.
Atoms (fractional coordinates):
Ba 0.5196 0.5196 0.4804  3 Tc 3.47-3.80, 6 Tl 3.51-3.64
Tc 0.3126 0.3126 0.0375  6 Tl 2.82-3.11
Tl 0.9575 0.9575 0.1257  3 Tc 2.82-2.86
Tl 0.7102 0.7102 0.8564  3 Tc 2.94-3.11, 2 Tl 3.17

ΔE_f = 0.39 eV per atom
Mass density = 8.62 g/cm3
Total DFT energy (no corrections) = -15.5 eV/cell



Entry 5:
LaAl2Br | PBE | relaxed

Lattice parameters (Å, degrees): 5.2100 5.2100 6.0026 75.85 75.85 40.90
With the nearest neighbours (Å) after each atom.
Atoms (fractional coordinates):
Al 0.0133 0.0133 0.9222  3 Al 2.76-2.97
Al 0.7336 0.7336 0.8114  3 Al 2.76-2.97
Br 0.5014 0.5014 0.4806  3 La 2.97-3.03, 2 Al 3.24
La 0.2517 0.2517 0.2858  3 Br 2.97-3.03

Mass density = 4.40 g/cm3
Total DFT energy (no corrections) = -15.5 eV/cell



Entry 6:
Na2BH4 | PBE | relaxed

Lattice parameters (Å, degrees): 3.2141 3.2141 7.2482 77.19 77.19 90.00
With the nearest neighbours (Å) after each atom.
Atoms (fractional coordinates):
Na 0.3621 0.3621 0.2759  8 H 2.36-2.49
Na 0.6379 0.6379 0.7241  8 H 2.36-2.49
B 0.0000 0.0000 0.0000  2 H 1.28
H 0.0929 0.0929 0.8142  1 B 1.28
H 0.9071 0.9071 0.1858  1 B 1.28
H 0.0000 0.5000 0.0000  2 B 1.61
H 0.5000 0.0000 0.0000  2 B 1.61

Mass density = 1.42 g/cm3
Total DFT energy (no corrections) = -21.6 eV/cell



Entry 7:
Pr3Sm6DyEr2 | PBE | relaxed

Lattice parameters (Å, degrees): 6.2811 6.2811 11.9986 95.01 95.01 120.01
With the nearest neighbours (Å) after each atom.
Atoms (fractional coordinates):
Pr 0.1668 0.8332 0.5000  6 Pr 3.62-3.63, 6 Sm 3.67-3.68
Pr 0.8332 0.1668 0.5000  6 Pr 3.62-3.63, 6 Sm 3.67-3.68
Pr 0.5000 0.5000 0.5000  6 Pr 3.63, 6 Sm 3.67
Sm 0.9181 0.5845 0.7556  2 Er 3.57, 1 Dy 3.57, 6 Sm 3.62-3.63, 3 Pr 3.67-3.68
Sm 0.7483 0.7483 0.2445  1 Dy 3.57, 2 Er 3.57, 6 Sm 3.62-3.63, 3 Pr 3.67
Sm 0.0819 0.4155 0.2444  2 Er 3.57, 1 Dy 3.57, 6 Sm 3.62-3.63, 3 Pr 3.67-3.68
Sm 0.5845 0.9181 0.7556  2 Er 3.57, 1 Dy 3.57, 6 Sm 3.62-3.63, 3 Pr 3.67-3.68
Sm 0.2517 0.2517 0.7555  1 Dy 3.57, 2 Er 3.57, 6 Sm 3.62-3.63, 3 Pr 3.67
Sm 0.4155 0.0819 0.2444  2 Er 3.57, 1 Dy 3.57, 6 Sm 3.62-3.63, 3 Pr 3.67-3.68
Dy 0.0000 0.0000 0.0000  6 Sm 3.57, 6 Er 3.63
Er 0.3333 0.6667 0.0000  6 Sm 3.57, 3 Dy 3.63, 3 Er 3.63
Er 0.6667 0.3333 0.0000  6 Sm 3.57, 3 Dy 3.63, 3 Er 3.63

ΔE_f = 0.02 eV per atom
Mass density = 7.50 g/cm3
Total DFT energy (no corrections) = -56.2 eV/cell



Entry 8:
LaCoAu4 | PBE | relaxed

Lattice parameters (Å, degrees): 5.5740 5.5740 5.5740 60.00 60.00 60.00
With the nearest neighbours (Å) after each atom.
Atoms (fractional coordinates):
La 0.0000 0.0000 0.0000  12 Au 3.27, 4 Co 3.41
Co 0.7500 0.7500 0.7500  12 Au 3.27, 4 La 3.41
Au 0.8724 0.3759 0.3759  6 Au 2.77-2.81
Au 0.3759 0.3759 0.8724  6 Au 2.77-2.81
Au 0.3759 0.8724 0.3759  6 Au 2.77-2.81
Au 0.3759 0.3759 0.3759  6 Au 2.77-2.81

ΔE_f = -0.13 eV per atom
Mass density = 13.37 g/cm3
Total DFT energy (no corrections) = -25.9 eV/cell



Entry 9:
YMn2V2 | PBE | relaxed

Lattice parameters (Å, degrees): 4.0060 4.0060 5.7145 69.48 69.48 90.00
With the nearest neighbours (Å) after each atom.
Atoms (fractional coordinates):
Y 0.0000 0.0000 0.0000  8 Mn 3.06, 8 V 3.19
Mn 0.3821 0.3821 0.2358  1 Mn 2.34, 4 V 2.39
Mn 0.6179 0.6179 0.7642  1 Mn 2.34, 4 V 2.39
V 0.7500 0.2500 0.5000  4 Mn 2.39
V 0.2500 0.7500 0.5000  4 Mn 2.39

ΔE_f = 0.08 eV per atom
Mass density = 6.27 g/cm3
Total DFT energy (no corrections) = -42.6 eV/cell



Entry 10:
Mn2BeAs | PBE | relaxed

Lattice parameters (Å, degrees): 3.6527 3.6534 3.4666 90.00 90.00 90.00
With the nearest neighbours (Å) after each atom.
Atoms (fractional coordinates):
Be 0.0000 0.5000 0.5000  8 Mn 2.52, 4 As 2.58
As 0.5000 0.0000 0.5000  8 Mn 2.52, 4 Be 2.58
Mn 0.0000 0.0000 0.0000  4 As 2.52, 4 Be 2.52, 4 Mn 2.58
Mn 0.5000 0.5000 0.0000  4 Be 2.52, 4 As 2.52, 4 Mn 2.58

ΔE_f = -0.03 eV per atom
Mass density = 6.96 g/cm3
Total DFT energy (no corrections) = -26.8 eV/cell



Entry 11:
La2CeBi | PBE | relaxed

Lattice parameters (Å, degrees): 4.9473 5.0287 5.0287 90.00 90.00 90.00
With the nearest neighbours (Å) after each atom.
Atoms (fractional coordinates):
Bi 0.5000 0.0000 0.0000  8 La 3.53, 4 Ce 3.56
Ce 0.5000 0.5000 0.5000  8 La 3.53, 4 Bi 3.56
La 0.0000 0.0000 0.5000  4 Ce 3.53, 4 Bi 3.53, 4 La 3.56
La 0.0000 0.5000 0.0000  4 Ce 3.53, 4 Bi 3.53, 4 La 3.56

ΔE_f = -0.44 eV per atom
Mass density = 8.32 g/cm3
Total DFT energy (no corrections) = -21.4 eV/cell



Entry 12:
Sm2ThI | PBE | relaxed

Lattice parameters (Å, degrees): 3.7883 3.7883 10.7637 79.86 79.86 60.00
With the nearest neighbours (Å) after each atom.
Atoms (fractional coordinates):
I 0.0000 0.0000 0.0000  6 Sm 3.33
Sm 0.7460 0.7460 0.7620  3 I 3.33, 3 Th 3.52
Sm 0.2540 0.2540 0.2380  3 I 3.33, 3 Th 3.52
Th 0.5000 0.5000 0.5000  6 Sm 3.52, 6 Th 3.79

Mass density = 8.36 g/cm3
Total DFT energy (no corrections) = -20.0 eV/cell